Entry 1:
! Sc2CdIn (PBE, optimized geometry); values from VASP
&SYSTEM
  ibrav = 0, nat = 4, ntyp = 3
/
ATOMIC_SPECIES
Sc 44.96 Sc.upf
Cd 112.41 Cd.upf
In 114.82 In.upf
ATOMIC_POSITIONS crystal
Sc 0.0000 0.5000 0.0000
Sc 0.5000 0.0000 0.0000
Cd 0.0000 0.0000 0.5000
In 0.5000 0.5000 0.5000
CELL_PARAMETERS angstrom
5.0100 0.0000 0.0000
0.0000 5.0100 0.0000
0.0000 0.0000 3.5536
! - Excess energy over the best structure of this formula in the dataset: 0.01 eV/f.u.



Entry 2:
! Sc2CdIn (PBE, optimized geometry); values from VASP
&SYSTEM
  ibrav = 0, nat = 8, ntyp = 3
/
ATOMIC_SPECIES
Sc 44.96 Sc.upf
Cd 112.41 Cd.upf
In 114.82 In.upf
ATOMIC_POSITIONS crystal
Sc 0.3333 0.6667 0.0856
Sc 0.3333 0.6667 0.4144
Sc 0.6667 0.3333 0.5856
Sc 0.6667 0.3333 0.9144
Cd 0.0000 0.0000 0.0000
Cd 0.0000 0.0000 0.5000
In 0.3333 0.6667 0.7500
In 0.6667 0.3333 0.2500
CELL_PARAMETERS angstrom
4.9607 0.0000 0.0000
-2.4804 4.2961 0.0000
0.0000 0.0000 9.3800
! - Excess energy over the best structure of this formula in the dataset: 1.29 eV/f.u.